Entry 1:
VASP calculation (SCAN) on a crystal of CaTl3Sb relaxed with PBEsol.

Its uncorrected formation energy is 0.514 eV per atom. As for the density of states at the Fermi level: 0.445 states/eV/atom. As for the energy: -261.431 eV/cell.

It has space group Pm-3m (No. 221), with a = 5.698 Å, b = 5.698 Å, c = 5.698 Å, α = 90.00°, β = 90.00° and γ = 90.00°. The distinct sites, in fractional coordinates, are Ca at (0.000, 0.000, 0.000), Tl at (0.000, 0.000, 0.500) and Sb at (0.500, 0.500, 0.500).

***

Entry 2:
VASP calculation (SCAN) on a crystal of Zn2AgIr relaxed with PBEsol.

As for the density of states at the Fermi level: 0.243 states/eV/atom. As for the energy relative to the elements: -148 meV/atom. As for the energy: -260.176 eV/cell.

It has space group Cmmm (No. 65), with a = 5.782 Å, b = 6.548 Å, c = 2.972 Å, α = 90.00°, β = 90.00° and γ = 90.00°. The distinct sites, in fractional coordinates, are Zn at (0.250, 0.250, 0.000), Ag at (0.000, 0.000, 0.500) and Ir at (0.000, 0.500, 0.500).

***

Among the records above, which one has the lowest density of states at the Fermi level?
Zn2AgIr

***

What is the formula in the second record?
Zn2AgIr

***

Which of these has the lowest energy?
CaTl3Sb

***

Look up the energy of the second one.
-260.176 eV/cell